DFT (GGA+U) results for crystalline Cs2FeH2Cl5O at its relaxed geometry.

a = 9.7711 Å, b = 9.7711 Å, c = 8.2218 Å
α = 90.00°, β = 90.00°, γ = 134.85°
Last column: magnetic moment on the atom in μB.
Atoms (fractional coordinates):
Cl 0.7532 0.2468 0.7500  0.16
Cl 0.2468 0.7532 0.2500  0.16
Cl 0.3330 0.1141 0.0404  0.11
Cl 0.6670 0.8859 0.9596  0.11
Cl 0.8859 0.6670 0.0404  0.11
Cl 0.8859 0.6670 0.4596  0.11
Cl 0.3330 0.1141 0.4596  0.11
Cl 0.1141 0.3330 0.9596  0.11
Cl 0.1141 0.3330 0.5404  0.11
Cl 0.6670 0.8859 0.5404  0.11
Cs 0.7506 0.2494 0.2500  0.00
Cs 0.5274 0.4726 0.7500  0.01
Cs 0.4726 0.5274 0.2500  0.01
Cs 0.2494 0.7506 0.7500  0.00
Fe 0.8823 0.1177 0.7500  4.24
Fe 0.1177 0.8823 0.2500  4.24
H 0.9644 0.0356 0.3470  0.00
H 0.0356 0.9644 0.8470  0.00
H 0.9644 0.0356 0.1530  0.00
H 0.0356 0.9644 0.6530  0.00
O 0.9961 0.0039 0.2500  0.03
O 0.0039 0.9961 0.7500  0.03

Output
Fermi-level density of states in states/eV/cell: 0.0
Crystal system: orthorhombic
Volume in Å³/cell: 556.5
Total energy in eV per atom: -3.936
Total moment in μB per atom: 0.466
Symmetry: Cmcm (63)